1.
This record from Alexandria via LeMat-Bulk describes a geometry-optimized LiCuSbPd structure. The functional is PBE.

The calculation puts the uncorrected formation energy at -9.1 kcal/mol of atoms. For the density, the calculation gives 7.82 g/cm3. Its total energy is -4.226 eV/atom. As for the magnetization: 0.000 μB/atom.

The structure belongs to space group F-43m (No. 216); the cell edges are 6.331, 6.331 and 6.331 Å and the angles 90.00°, 90.00° and 90.00°. The asymmetric unit holds Li at (0.000, 0.000, 0.000), Cu at (0.250, 0.250, 0.750), Sb at (0.000, 0.000, 0.500) and Pd at (0.250, 0.250, 0.250).

2.
This record from Alexandria via LeMat-Bulk describes a geometry-optimized LiCuSiPd structure. The functional is PBE.

The calculation puts the uncorrected formation energy at -10.1 kcal/mol of atoms. For the density, the calculation gives 6.71 g/cm3. Its total energy is -4.595 eV/atom. As for the magnetization: 0.000 μB/atom.

The structure belongs to space group F-43m (No. 216); the cell edges are 5.876, 5.876 and 5.876 Å and the angles 90.00°, 90.00° and 90.00°. The asymmetric unit holds Li at (0.000, 0.000, 0.000), Cu at (0.250, 0.250, 0.750), Si at (0.000, 0.000, 0.500) and Pd at (0.250, 0.250, 0.250).